# MgRh2Br PBE optimized geometry
# crystal system	monoclinic
# energy relative to the lowest polymorph listed for this composition	187	meV per atom
# M_tot	0.00	μB per cell
# formation energy (no corrections)	116	meV per atom
data_MgRh2Br
_chemical_formula_sum 'Mg2 Rh4 Br2'
_cell_length_a 5.6365
_cell_length_b 9.0098
_cell_length_c 3.0915
_cell_angle_alpha 90.00
_cell_angle_beta 121.84
_cell_angle_gamma 90.00
_space_group_name_H-M_alt 'C 1 2/m 1'
_space_group_IT_number 12
_space_group_name_Hall '-C 2y'
loop_
_atom_site_label
_atom_site_type_symbol
_atom_site_fract_x
_atom_site_fract_y
_atom_site_fract_z
_atom_site_occupancy
Mg1 Mg 0.0000 0.0000 0.0000 1
Rh1 Rh 0.2500 0.2500 0.5000 1
Br1 Br 0.0000 0.5000 0.0000 1